Mn2SbP | PBE | relaxed

Results
- Total magnetic moment: 0.3 μB per cell

a = 2.894 Å, b = 2.894 Å, c = 7.511 Å
α = 90.00°, β = 90.00°, γ = 90.00°
Element x y z (fractional)
Mn  0.000  0.000  0.000
Mn  0.500  0.500  0.196
Sb  0.500  0.500  0.759
P  0.000  0.000  0.349



Mn12Sb2P | PBE | relaxed

Results
- Total magnetic moment: 14.7 μB per cell

a = 4.489 Å, b = 4.554 Å, c = 10.347 Å
α = 89.36°, β = 80.52°, γ = 71.34°
Element x y z (fractional)
Mn  0.017  0.247  0.452
Mn  0.078  0.735  0.301
Mn  0.123  0.233  0.174
Mn  0.169  0.686  0.031
Mn  0.365  0.285  0.827
Mn  0.476  0.255  0.563
Mn  0.524  0.745  0.437
Mn  0.635  0.715  0.173
Mn  0.831  0.314  0.969
Mn  0.877  0.767  0.826
Mn  0.922  0.265  0.699
Mn  0.983  0.753  0.548
Sb  0.423  0.769  0.701
Sb  0.577  0.231  0.299
P  0.500  0.000  0.000



Mn2SbP | PBE | relaxed

Results
- Total magnetic moment: 12.5 μB per cell

a = 7.751 Å, b = 7.751 Å, c = 7.751 Å
α = 142.98°, β = 142.98°, γ = 53.35°
Element x y z (fractional)
Mn  0.038  0.625  0.913
Mn  0.375  0.288  0.413
Mn  0.712  0.125  0.087
Mn  0.875  0.962  0.587
Sb  0.250  0.750  0.500
Sb  0.500  0.500  0.000
P  0.000  0.000  0.000
P  0.750  0.250  0.500



Mn2SbP2 | PBE | relaxed

Results
- Total magnetic moment: 0.0 μB per cell
- Energy above the most stable polymorph in this dataset: 0 meV per atom

a = 6.220 Å, b = 6.220 Å, c = 6.220 Å
α = 147.12°, β = 147.12°, γ = 47.19°
Element x y z (fractional)
Mn  0.125  0.125  0.000
Mn  0.875  0.875  0.000
Sb  0.500  0.500  0.000
P  0.250  0.750  0.500
P  0.750  0.250  0.500



Mn2SbP | PBE | relaxed

Results
- Total magnetic moment: 6.9 μB per cell

a = 3.682 Å, b = 3.822 Å, c = 4.743 Å
α = 90.00°, β = 90.00°, γ = 90.00°
Element x y z (fractional)
Mn  0.000  0.000  0.000
Mn  0.000  0.500  0.500
Sb  0.500  0.000  0.500
P  0.500  0.500  0.000



Mn2SbP | PBE | relaxed

Results
- Total magnetic moment: 4.0 μB per cell

a = 6.417 Å, b = 6.417 Å, c = 6.417 Å
α = 152.43°, β = 149.40°, γ = 41.66°
Element x y z (fractional)
Mn  0.000  0.000  0.000
Mn  0.816  0.316  0.500
Sb  0.625  0.625  0.000
P  0.372  0.872  0.500



| no. | formation energy from raw total energies (eV/f.u.) | total DFT energy (no corrections) (eV/atom) |
| --- | --- | --- |
| 1 | 0.505 | -6.8417 |
| 2 | 2.263 | -8.0951 |
| 3 | 0.897 | -6.7437 |
| 4 | -0.501 | -6.7564 |
| 5 | 0.981 | -6.7225 |
| 6 | -0.429 | -7.0750 |